(1)
## SmMgScPt (PBE-GGA)

Data for crystalline SmMgScPt at its relaxed geometry.

Cell lengths 7.0712, 7.0712, 7.0712 Å; angles 90.00, 90.00, 90.00 degrees
Closest atoms and distances in Å follow each position.
Space group F-43m (No. 216)
Asymmetric unit:
1 Sm 0.0000 0.0000 0.0000 (multiplicity 4)  4 Mg 3.06, 4 Pt 3.06
2 Mg 0.2500 0.2500 0.2500 (multiplicity 4)  4 Sc 3.06, 4 Sm 3.06
3 Sc 0.0000 0.0000 0.5000 (multiplicity 4)  4 Mg 3.06, 4 Pt 3.06
4 Pt 0.2500 0.2500 0.7500 (multiplicity 4)  4 Sm 3.06, 4 Sc 3.06

Calculated values
VASP energy: -83.54 eV for the cell shown
DFT formation energy: -550 meV per atom
N(E_F): 11.72 states/eV/cell

=====

(2)
## InFeBi2Ir (PBE-GGA)

Data for crystalline InFeBi2Ir at its relaxed geometry.

Cell lengths 5.5110, 5.5110, 4.6587 Å; angles 90.00, 90.00, 90.00 degrees
Closest atoms and distances in Å follow each position.
Space group P4/mmm (No. 123)
Asymmetric unit:
1 In 0.0000 0.0000 0.0000 (multiplicity 1)  2 Fe 2.33
2 Fe 0.0000 0.0000 0.5000 (multiplicity 1)  2 In 2.33
3 Bi 0.0000 0.5000 0.0000 (multiplicity 2)  2 In 2.76
4 Ir 0.5000 0.5000 0.5000 (multiplicity 1)  8 Bi 3.61, 4 Fe 3.90

Calculated values
VASP energy: -18.52 eV for the cell shown
DFT formation energy: 1861 meV per atom
N(E_F): 7.67 states/eV/cell

=====

(3)
## ErGa3CoRh (PBE-GGA)

Data for crystalline ErGa3CoRh at its relaxed geometry.

Cell lengths 7.8124, 10.4451, 5.3750 Å; angles 90.00, 90.00, 90.00 degrees
Closest atoms and distances in Å follow each position.
Space group Cmcm (No. 63)
Asymmetric unit:
1 Er 0.0000 0.2066 0.2500 (multiplicity 4)  1 Co 2.60
2 Ga 0.0000 0.3223 0.7500 (multiplicity 4)  1 Co 2.32, 1 Rh 2.46
3 Ga 0.2487 0.5000 0.0000 (multiplicity 8)  2 Co 2.41, 2 Rh 2.55, 2 Ga 2.69
4 Co 0.0000 0.4555 0.2500 (multiplicity 4)  5 Ga 2.32-2.41
5 Rh 0.0000 0.0867 0.7500 (multiplicity 4)  5 Ga 2.46-2.55

Calculated values
VASP energy: -122.22 eV for the cell shown
DFT formation energy: -409 meV per atom
N(E_F): 13.40 states/eV/cell

=====

(4)
## Tl2BiI (PBE-GGA)

Data for crystalline Tl2BiI at its relaxed geometry.

Cell lengths 3.8400, 3.8400, 9.4504 Å; angles 90.00, 90.00, 90.00 degrees
Closest atoms and distances in Å follow each position.
Space group P4/mmm (No. 123)
Asymmetric unit:
1 Tl 0.0000 0.0000 0.2465 (multiplicity 2)  4 I 3.58, 4 Bi 3.62, 4 Tl 3.84
2 Bi 0.5000 0.5000 0.5000 (multiplicity 1)  8 Tl 3.62, 4 Bi 3.84
3 I 0.5000 0.5000 0.0000 (multiplicity 1)  8 Tl 3.58, 4 I 3.84

Calculated values
VASP energy: -10.75 eV for the cell shown
ΔE to the lowest computed polymorph: 0.000 eV per atom
N(E_F): 2.62 states/eV/cell
Uncorrected formation energy: -0.15 eV/atom

=====

(5)
## CaCrTc2 (PBE-GGA)

Data for crystalline CaCrTc2 at its relaxed geometry.

Cell lengths 9.5110, 3.0710, 5.3127 Å; angles 90.00, 106.06, 90.00 degrees
Closest atoms and distances in Å follow each position.
Space group Cm (No. 8)
Asymmetric unit:
1 Ca 0.0000 0.0000 0.0000 (multiplicity 2)  7 Tc 3.06-3.22, 2 Ca 3.07, 4 Cr 3.16-3.41
2 Cr 0.2113 0.0000 0.6344 (multiplicity 2)  4 Tc 2.36-2.41
3 Tc 0.0084 0.5000 0.5056 (multiplicity 2)  2 Cr 2.41, 2 Tc 2.58
4 Tc 0.2829 0.5000 0.3560 (multiplicity 2)  2 Cr 2.36, 2 Tc 2.58

Calculated values
VASP energy: -60.69 eV for the cell shown
DFT formation energy: 504 meV per atom
ΔE to the lowest computed polymorph: 0.281 eV per atom
N(E_F): 6.76 states/eV/cell

=====

(6)
## MgZrCd2 (PBE-GGA)

Data for crystalline MgZrCd2 at its relaxed geometry.

Cell lengths 3.2158, 3.2158, 8.3945 Å; angles 90.00, 90.00, 90.00 degrees
Closest atoms and distances in Å follow each position.
Space group P4mm (No. 99)
Asymmetric unit:
1 Mg 0.0000 0.0000 0.0000 (multiplicity 1)  4 Cd 3.03, 4 Zr 3.15, 4 Mg 3.22
2 Zr 0.5000 0.5000 0.2597 (multiplicity 1)  4 Cd 3.12, 4 Mg 3.15, 4 Zr 3.22
3 Cd 0.0000 0.0000 0.5140 (multiplicity 1)  8 Cd 3.08-3.22, 4 Zr 3.12
4 Cd 0.5000 0.5000 0.7615 (multiplicity 1)  4 Mg 3.03, 8 Cd 3.08-3.22

Calculated values
VASP energy: -12.24 eV for the cell shown
DFT formation energy: -67 meV per atom
N(E_F): 3.17 states/eV/cell

=====

(7)
## Ba4TeN12 (PBE-GGA)

Data for crystalline Ba4TeN12 at its relaxed geometry.

Cell lengths 11.8295, 11.8295, 8.7319 Å; angles 90.00, 90.00, 120.00 degrees
Closest atoms and distances in Å follow each position.
Space group R-3 (No. 148, hexagonal axes)
Asymmetric unit:
1 Ba 0.0000 0.0000 0.0000 (multiplicity 3)  12 N 2.97-3.04
2 Ba 0.0000 0.5000 0.0000 (multiplicity 9)  6 N 2.78-3.05
3 Te 0.0000 0.0000 0.5000 (multiplicity 3)  6 Ba 3.71
4 N 0.0265 0.7712 0.9131 (multiplicity 18)  1 N 1.17
5 N 0.0515 0.6023 0.7057 (multiplicity 18)  1 N 1.17

Calculated values
VASP energy: -353.37 eV for the cell shown
N(E_F): 24.48 states/eV/cell
Uncorrected formation energy: -0.41 eV/atom

=====

(8)
## Na5Zr2F13 (PBE-GGA)

Data for crystalline Na5Zr2F13 at its relaxed geometry.

Cell lengths 11.7999, 5.5728, 8.5781 Å; angles 90.00, 97.40, 90.00 degrees
Closest atoms and distances in Å follow each position.
Space group C2/m (No. 12)
Asymmetric unit:
1 Na 0.0000 0.0000 0.0000 (multiplicity 2)  4 F 2.33
2 Na 0.1642 0.0000 0.4282 (multiplicity 4)  6 F 2.33-2.39
3 Na 0.2221 0.5000 0.1547 (multiplicity 4)  8 F 2.43-2.54
4 Zr 0.0733 0.5000 0.7429 (multiplicity 4)  7 F 2.08-2.15
5 F 0.0000 0.5000 0.5000 (multiplicity 2)  2 Zr 2.15
6 F 0.0614 0.2615 0.2503 (multiplicity 8)  1 Zr 2.08
7 F 0.1335 0.2743 0.9294 (multiplicity 8)  1 Zr 2.09, 1 Na 2.33
8 F 0.1818 0.2621 0.6434 (multiplicity 8)  1 Zr 2.10, 1 Na 2.34

Calculated values
VASP energy: -228.13 eV for the cell shown
ΔE to the lowest computed polymorph: 0.000 eV per atom
N(E_F): 0.00 states/eV/cell
Uncorrected formation energy: -3.30 eV/atom

=====

(9)
## PmB3N3 (PBE-GGA)

Data for crystalline PmB3N3 at its relaxed geometry.

Cell lengths 4.8548, 4.8548, 4.8548 Å; angles 90.00, 90.00, 90.00 degrees
Closest atoms and distances in Å follow each position.
Space group Pm-3n (No. 223)
Asymmetric unit:
1 Pm 0.0000 0.0000 0.0000 (multiplicity 2)  12 B 2.71, 12 N 2.71
2 B 0.0000 0.2500 0.5000 (multiplicity 6)  4 N 1.72
3 N 0.0000 0.5000 0.2500 (multiplicity 6)  4 B 1.72

Calculated values
VASP energy: -96.22 eV for the cell shown
N(E_F): 4.76 states/eV/cell
Uncorrected formation energy: 0.24 eV/atom

=====

(10)
## Ho3P4Rh4 (PBE-GGA)

Data for crystalline Ho3P4Rh4 at its relaxed geometry.

Cell lengths 3.9515, 6.9502, 13.2080 Å; angles 90.00, 90.00, 90.00 degrees
Closest atoms and distances in Å follow each position.
Space group Immm (No. 71)
Asymmetric unit:
1 Ho 0.0000 0.0000 0.0000 (multiplicity 2)  6 P 2.84-2.90
2 Ho 0.0000 0.5000 0.1215 (multiplicity 4)  6 P 2.88-2.92, 6 Rh 2.95-3.03, 1 Ho 3.21
3 P 0.0000 0.0000 0.2194 (multiplicity 4)  6 Rh 2.49
4 P 0.0000 0.2060 0.5000 (multiplicity 4)  2 Rh 2.41
5 Rh 0.0000 0.2976 0.3243 (multiplicity 8)  4 P 2.41-2.49

Calculated values
VASP energy: -155.69 eV for the cell shown
DFT formation energy: -1188 meV per atom
N(E_F): 9.19 states/eV/cell

=====

(11)
## RbSr2In2 (PBE-GGA)

Data for crystalline RbSr2In2 at its relaxed geometry.

Cell lengths 9.9372, 9.9372, 3.9564 Å; angles 90.00, 90.00, 90.00 degrees
Closest atoms and distances in Å follow each position.
Space group P4/mbm (No. 127)
Asymmetric unit:
1 Rb 0.0000 0.0000 0.0000 (multiplicity 2)  4 Sr 3.84, 2 Rb 3.96, 8 In 4.26
2 Sr 0.1405 0.3595 0.0000 (multiplicity 4)  6 In 3.51-3.52, 2 Rb 3.84
3 In 0.1528 0.6528 0.5000 (multiplicity 4)  6 Sr 3.51-3.52

Calculated values
VASP energy: -21.61 eV for the cell shown
DFT formation energy: -200 meV per atom
ΔE to the lowest computed polymorph: 0.012 eV per atom
N(E_F): 4.53 states/eV/cell

=====

(12)
## InAgPb (PBE-GGA)

Data for crystalline InAgPb at its relaxed geometry.

Cell lengths 6.7098, 4.4876, 9.9890 Å; angles 90.00, 90.00, 90.00 degrees
Closest atoms and distances in Å follow each position.
Space group Pnma (No. 62)
Asymmetric unit:
1 In 0.1234 0.2500 0.0822 (multiplicity 4)  5 Pb 3.17-3.37, 5 Ag 3.20-3.33, 2 In 3.24
2 Ag 0.1200 0.2500 0.7578 (multiplicity 4)  4 Pb 3.17-3.18, 5 In 3.20-3.33, 2 Ag 3.36
3 Pb 0.1212 0.2500 0.4000 (multiplicity 4)  4 Ag 3.17-3.18, 5 In 3.17-3.37, 2 Pb 3.42

Calculated values
VASP energy: -36.10 eV for the cell shown
DFT formation energy: 91 meV per atom
N(E_F): 4.69 states/eV/cell

=====

(13)
## AsOs2Se (PBE-GGA)

Data for crystalline AsOs2Se at its relaxed geometry.

Cell lengths 9.2527, 3.0644, 4.4718 Å; angles 90.00, 103.36, 90.00 degrees
Closest atoms and distances in Å follow each position.
Space group Cm (No. 8)
Asymmetric unit:
1 As 0.0000 0.0000 0.0000 (multiplicity 2)  7 Os 2.63-2.76
2 Os 0.0013 0.5000 0.4869 (multiplicity 2)  3 Se 2.51-2.66, 4 As 2.66-2.76
3 Os 0.2604 0.0000 0.8586 (multiplicity 2)  4 Se 2.56-2.86, 3 As 2.63-2.65
4 Se 0.2596 0.5000 0.3986 (multiplicity 2)  5 Os 2.51-2.66

Calculated values
VASP energy: -56.52 eV for the cell shown
ΔE to the lowest computed polymorph: 0.342 eV per atom
N(E_F): 5.13 states/eV/cell
Uncorrected formation energy: 0.58 eV/atom

=====

(14)
## MgAgSe2 (PBE-GGA)

Data for crystalline MgAgSe2 at its relaxed geometry.

Cell lengths 6.8982, 6.8982, 6.8982 Å; angles 90.00, 90.00, 90.00 degrees
Closest atoms and distances in Å follow each position.
Space group F-43m (No. 216)
Asymmetric unit:
1 Mg 0.0000 0.0000 0.0000 (multiplicity 4)  4 Ag 2.99, 4 Se 2.99
2 Ag 0.2500 0.2500 0.7500 (multiplicity 4)  4 Se 2.99, 4 Mg 2.99
3 Se 0.0000 0.0000 0.5000 (multiplicity 4)  4 Se 2.99, 4 Ag 2.99
4 Se 0.2500 0.2500 0.2500 (multiplicity 4)  4 Se 2.99, 4 Mg 2.99

Calculated values
VASP energy: -45.13 eV for the cell shown
N(E_F): 12.38 states/eV/cell
Uncorrected formation energy: 0.03 eV/atom

=====

(15)
## CsNa2TaBr8 (PBE-GGA)

Data for crystalline CsNa2TaBr8 at its relaxed geometry.

Cell lengths 6.3323, 8.0620, 10.4773 Å; angles 70.09, 79.64, 88.54 degrees
Closest atoms and distances in Å follow each position.
Space group P-1 (No. 2)
Asymmetric unit:
1 Cs 0.0000 0.0000 0.0000 (multiplicity 1)  6 Br 3.75-4.04
2 Na 0.4269 0.4755 0.1853 (multiplicity 2)  3 Br 2.80-3.04
3 Ta 0.0000 0.5000 0.5000 (multiplicity 1)  6 Br 2.52-2.57
4 Br 0.1258 0.4929 0.7218 (multiplicity 2)  1 Ta 2.57
5 Br 0.2442 0.2523 0.4816 (multiplicity 2)  1 Ta 2.53
6 Br 0.2904 0.7279 0.3542 (multiplicity 2)  1 Ta 2.52
7 Br 0.4828 0.2239 0.0542 (multiplicity 2)  2 Na 2.80-2.81

Calculated values
VASP energy: -43.62 eV for the cell shown
Uncorrected formation energy: -1.24 eV/atom

=====

(16)
## MgBOs2Pb (PBE-GGA)

Data for crystalline MgBOs2Pb at its relaxed geometry.

Cell lengths 4.7646, 4.7646, 3.9239 Å; angles 90.00, 90.00, 90.00 degrees
Closest atoms and distances in Å follow each position.
Space group P4/mmm (No. 123)
Asymmetric unit:
1 Mg 0.0000 0.0000 0.0000 (multiplicity 1)  2 B 1.96
2 B 0.0000 0.0000 0.5000 (multiplicity 1)  2 Mg 1.96
3 Os 0.0000 0.5000 0.0000 (multiplicity 2)  2 Mg 2.38
4 Pb 0.5000 0.5000 0.5000 (multiplicity 1)  8 Os 3.09, 4 B 3.37

Calculated values
VASP energy: -23.64 eV for the cell shown
DFT formation energy: 2161 meV per atom
N(E_F): 4.54 states/eV/cell

=====

(17)
## Ag2SnTe2 (PBE-GGA)

Data for crystalline Ag2SnTe2 at its relaxed geometry.

Cell lengths 9.1278, 13.6962, 6.3931 Å; angles 90.00, 130.45, 90.00 degrees
Closest atoms and distances in Å follow each position.
Space group C2/c (No. 15)
Asymmetric unit:
1 Ag 0.1741 0.0314 0.0710 (multiplicity 8)  3 Te 2.75-2.92, 1 Ag 2.81
2 Sn 0.0000 0.3889 0.2500 (multiplicity 4)  2 Ag 3.09, 4 Te 3.21-3.38
3 Te 0.0000 0.1422 0.2500 (multiplicity 4)  4 Ag 2.86-2.92
4 Te 0.0000 0.3705 0.7500 (multiplicity 4)  2 Ag 2.75

Calculated values
VASP energy: -65.81 eV for the cell shown
ΔE to the lowest computed polymorph: 0.000 eV per atom
Uncorrected formation energy: -0.09 eV/atom

=====

(18)
## SrZn2HgIr (PBE-GGA)

Data for crystalline SrZn2HgIr at its relaxed geometry.

Cell lengths 4.8643, 4.8643, 5.2744 Å; angles 90.00, 90.00, 90.00 degrees
Closest atoms and distances in Å follow each position.
Space group P4/mmm (No. 123)
Asymmetric unit:
1 Sr 0.0000 0.0000 0.0000 (multiplicity 1)  4 Hg 3.44, 8 Zn 3.59
2 Zn 0.0000 0.5000 0.5000 (multiplicity 2)  2 Ir 2.43
3 Hg 0.5000 0.5000 0.0000 (multiplicity 1)  2 Ir 2.64
4 Ir 0.5000 0.5000 0.5000 (multiplicity 1)  4 Zn 2.43, 2 Hg 2.64

Calculated values
VASP energy: -14.44 eV for the cell shown
DFT formation energy: -210 meV per atom
N(E_F): 1.96 states/eV/cell

=====

(19)
## KFeN2 (PBE-GGA)

Data for crystalline KFeN2 at its relaxed geometry.

Cell lengths 5.7989, 5.7989, 5.7989 Å; angles 90.00, 90.00, 90.00 degrees
Closest atoms and distances in Å follow each position.
Space group Fm-3m (No. 225)
Asymmetric unit:
1 K 0.0000 0.0000 0.0000 (multiplicity 4)  8 N 2.51
2 Fe 0.0000 0.0000 0.5000 (multiplicity 4)  8 N 2.51
3 N 0.2500 0.2500 0.2500 (multiplicity 8)  4 Fe 2.51, 4 K 2.51

Calculated values
VASP energy: -77.07 eV for the cell shown
ΔE to the lowest computed polymorph: 1.770 eV per atom
N(E_F): 23.47 states/eV/cell
Uncorrected formation energy: 1.74 eV/atom

=====

(20)
## PrYAlTl (PBE-GGA)

Data for crystalline PrYAlTl at its relaxed geometry.

Cell lengths 3.7346, 3.7346, 7.7452 Å; angles 90.00, 90.00, 90.00 degrees
Closest atoms and distances in Å follow each position.
Space group P4mm (No. 99)
Asymmetric unit:
1 Pr 0.0000 0.0000 0.0000 (multiplicity 1)  4 Al 3.27, 4 Tl 3.41
2 Y 0.0000 0.0000 0.4734 (multiplicity 1)  4 Al 3.16, 4 Tl 3.26
3 Al 0.5000 0.5000 0.2492 (multiplicity 1)  4 Y 3.16, 4 Pr 3.27
4 Tl 0.5000 0.5000 0.7211 (multiplicity 1)  4 Y 3.26, 4 Pr 3.41, 1 Al 3.66

Calculated values
VASP energy: -18.87 eV for the cell shown
DFT formation energy: -380 meV per atom
ΔE to the lowest computed polymorph: 0.000 eV per atom
N(E_F): 2.04 states/eV/cell